1.
Below is a relaxed CaDyHgIr crystal, with properties calculated at the PBE level.

Cell lengths 5.038, 5.038, 5.038 Å; angles 60.00, 60.00, 60.00 degrees
Fractional positions:
Ca 0.000 0.000 0.000
Dy 0.500 0.500 0.500
Hg 0.750 0.750 0.750
Ir 0.250 0.250 0.250

The value obtained for the volume is 90.4 Å³/cell. The crystal system is cubic. As for the density of states at the Fermi level: 3.4 states/eV/cell. The final energy comes out at -4.415 eV/atom. The relative energy among the computed polymorphs comes out at 84 meV/atom.

2.
Below is a relaxed ZnSbC2 crystal, with properties calculated at the PBE level.

Cell lengths 5.979, 5.979, 5.979 Å; angles 131.55, 131.55, 70.94 degrees
Fractional positions:
Zn 0.000 0.000 0.000
Zn 0.750 0.250 0.500
Sb 0.250 0.750 0.500
Sb 0.500 0.500 0.000
C 0.115 0.625 0.990
C 0.375 0.365 0.490
C 0.635 0.125 0.010
C 0.875 0.885 0.510

The value obtained for the volume is 117.3 Å³/cell. The crystal system is tetragonal. As for the density of states at the Fermi level: 4.5 states/eV/cell. The final energy comes out at -4.807 eV/atom. The value obtained for the uncorrected formation energy is 1.15 eV per atom. The relative energy among the computed polymorphs comes out at 0 meV/atom.

3.
Below is a relaxed Er3As2Pd2Rh5 crystal, with properties calculated at the PBE level.

Cell lengths 13.466, 13.466, 13.466 Å; angles 162.79, 162.79, 24.43 degrees
Fractional positions:
Er 0.000 0.000 0.000
Er 0.166 0.166 0.000
Er 0.834 0.834 0.000
As 0.369 0.369 0.000
As 0.631 0.631 0.000
Pd 0.275 0.275 0.000
Pd 0.725 0.725 0.000
Rh 0.079 0.579 0.500
Rh 0.421 0.921 0.500
Rh 0.500 0.500 0.000
Rh 0.579 0.079 0.500
Rh 0.921 0.421 0.500

The value obtained for the volume is 213.7 Å³/cell. The crystal system is tetragonal. As for the density of states at the Fermi level: 7.1 states/eV/cell. The final energy comes out at -6.681 eV/atom.

4.
Below is a relaxed CsTiOF2 crystal, with properties calculated at the PBE level.

Cell lengths 4.461, 4.461, 3.888 Å; angles 90.00, 90.00, 90.00 degrees
Fractional positions:
Cs 0.000 0.000 0.000
Ti 0.500 0.500 0.500
O 0.500 0.500 0.000
F 0.000 0.500 0.500
F 0.500 0.000 0.500

The value obtained for the volume is 77.4 Å³/cell. The crystal system is tetragonal. As for the density of states at the Fermi level: 1.6 states/eV/cell. The final energy comes out at -6.253 eV/atom. The value obtained for the uncorrected formation energy is -2.76 eV per atom. The relative energy among the computed polymorphs comes out at 0 meV/atom.

5.
Below is a relaxed SrRe2Sb crystal, with properties calculated at the PBE level.

Cell lengths 3.165, 4.318, 6.556 Å; angles 90.00, 90.00, 90.00 degrees
Fractional positions:
Sr 0.000 0.000 0.000
Re 0.500 0.500 0.323
Re 0.500 0.500 0.677
Sb 0.000 0.000 0.500

The value obtained for the volume is 89.6 Å³/cell. The crystal system is orthorhombic. As for the density of states at the Fermi level: 3.9 states/eV/cell. The final energy comes out at -6.781 eV/atom. The value obtained for the uncorrected formation energy is 0.89 eV per atom.

6.
Below is a relaxed KVCl2 crystal, with properties calculated at the PBE level.

Cell lengths 5.057, 5.057, 5.057 Å; angles 60.00, 60.00, 60.00 degrees
Fractional positions:
K 0.000 0.000 0.000
V 0.500 0.500 0.500
Cl 0.250 0.250 0.250
Cl 0.750 0.750 0.750

The value obtained for the volume is 91.5 Å³/cell. The crystal system is cubic. As for the density of states at the Fermi level: 6.5 states/eV/cell. The final energy comes out at -4.042 eV/atom. The value obtained for the uncorrected formation energy is -0.57 eV per atom. The relative energy among the computed polymorphs comes out at 257 meV/atom.

7.
Below is a relaxed Dy2ZrZn2Rh5 crystal, with properties calculated at the PBE level.

Cell lengths 9.835, 9.835, 3.602 Å; angles 90.00, 90.00, 90.00 degrees
Fractional positions:
Dy 0.172 0.328 0.000
Dy 0.328 0.828 0.000
Dy 0.672 0.172 0.000
Dy 0.828 0.672 0.000
Zr 0.000 0.000 0.000
Zr 0.500 0.500 0.000
Zn 0.124 0.624 0.000
Zn 0.376 0.124 0.000
Zn 0.624 0.876 0.000
Zn 0.876 0.376 0.000
Rh 0.000 0.500 0.500
Rh 0.069 0.796 0.500
Rh 0.204 0.069 0.500
Rh 0.296 0.569 0.500
Rh 0.431 0.296 0.500
Rh 0.500 0.000 0.500
Rh 0.569 0.704 0.500
Rh 0.704 0.431 0.500
Rh 0.796 0.931 0.500
Rh 0.931 0.204 0.500

The value obtained for the volume is 348.4 Å³/cell. The crystal system is tetragonal. As for the density of states at the Fermi level: 10.6 states/eV/cell. The final energy comes out at -6.417 eV/atom.

8.
Below is a relaxed Sb2PIBr crystal, with properties calculated at the PBE level.

Cell lengths 5.381, 5.381, 5.361 Å; angles 90.00, 90.00, 90.00 degrees
Fractional positions:
Sb 0.000 0.500 0.000
Sb 0.500 0.000 0.000
P 0.000 0.000 0.000
I 0.000 0.000 0.500
Br 0.500 0.500 0.500

The value obtained for the volume is 155.2 Å³/cell. The crystal system is tetragonal. As for the density of states at the Fermi level: 4.5 states/eV/cell. The final energy comes out at -2.897 eV/atom. The value obtained for the uncorrected formation energy is 0.48 eV per atom. The relative energy among the computed polymorphs comes out at 0 meV/atom.

9.
Below is a relaxed ZrZnN3 crystal, with properties calculated at the PBE level.

Cell lengths 3.761, 3.761, 3.761 Å; angles 90.00, 90.00, 90.00 degrees
Fractional positions:
Zr 0.000 0.000 0.000
Zn 0.500 0.500 0.500
N 0.000 0.500 0.500
N 0.500 0.000 0.500
N 0.500 0.500 0.000

The value obtained for the volume is 53.2 Å³/cell. The crystal system is cubic. As for the density of states at the Fermi level: 2.8 states/eV/cell. The final energy comes out at -6.192 eV/atom. The value obtained for the uncorrected formation energy is 0.77 eV per atom.

10.
Below is a relaxed LiHgPO2 crystal, with properties calculated at the PBE level.

Cell lengths 4.295, 4.295, 5.056 Å; angles 90.00, 90.00, 90.00 degrees
Fractional positions:
Li 0.000 0.000 0.000
Hg 0.500 0.500 0.500
P 0.500 0.500 0.000
O 0.000 0.500 0.500
O 0.500 0.000 0.500

The value obtained for the volume is 93.3 Å³/cell. The crystal system is tetragonal. As for the density of states at the Fermi level: 3.9 states/eV/cell. The final energy comes out at -2.991 eV/atom. The value obtained for the uncorrected formation energy is 0.52 eV per atom. The relative energy among the computed polymorphs comes out at 978 meV/atom.

11.
Below is a relaxed TmNpTl2O8 crystal, with properties calculated at the PBE level.

Cell lengths 5.210, 6.782, 5.217 Å; angles 90.00, 92.73, 90.00 degrees
Fractional positions:
Tm 0.000 0.000 0.000
Np 0.000 0.500 0.000
Tl 0.500 0.246 0.500
Tl 0.500 0.754 0.500
O 0.172 0.277 0.830
O 0.172 0.723 0.830
O 0.295 0.500 0.297
O 0.300 0.000 0.302
O 0.700 0.000 0.698
O 0.705 0.500 0.703
O 0.828 0.277 0.170
O 0.828 0.723 0.170

The value obtained for the volume is 184.1 Å³/cell. The crystal system is monoclinic. The final energy comes out at -7.101 eV/atom. The value obtained for the uncorrected formation energy is -1.95 eV per atom.

12.
Below is a relaxed SnSb6Ru crystal, with properties calculated at the PBE level.

Cell lengths 8.461, 8.461, 9.919 Å; angles 125.06, 125.06, 69.61 degrees
Fractional positions:
Sn 0.000 0.500 0.000
Sn 0.500 0.000 0.000
Sb 0.128 0.828 0.627
Sb 0.172 0.872 0.373
Sb 0.201 0.507 0.830
Sb 0.320 0.320 0.480
Sb 0.374 0.374 0.242
Sb 0.493 0.799 0.170
Sb 0.507 0.201 0.830
Sb 0.626 0.626 0.758
Sb 0.680 0.680 0.520
Sb 0.799 0.493 0.170
Sb 0.828 0.128 0.627
Sb 0.872 0.172 0.373
Ru 0.000 0.500 0.500
Ru 0.500 0.000 0.500

The value obtained for the volume is 475.6 Å³/cell. The crystal system is monoclinic. As for the density of states at the Fermi level: 5.7 states/eV/cell. The final energy comes out at -4.774 eV/atom. The value obtained for the uncorrected formation energy is -0.02 eV per atom.